No. 1
The following is a PBE-GGA calculation of CdInBr2 after structural relaxation, from the Alexandria database.

Lattice parameters (Å, degrees): 5.458 5.458 5.458 60.00 60.00 60.00
Sites, in units of the cell vectors:
Cd (0.000, 0.000, 0.000)
In (0.250, 0.250, 0.250)
Br (0.500, 0.500, 0.500)
Br (0.750, 0.750, 0.750)

- space-group type = F-43m (216)
- distance to the lowest polymorph of the same formula (meV per atom) = 392.2
- formation energy without anion corrections (eV/atom) = -0.16

No. 2
The following is a PBE-GGA calculation of CdInBr2 after structural relaxation, from the Alexandria database.

Lattice parameters (Å, degrees): 3.944 3.944 7.611 90.00 90.00 96.65
Sites, in units of the cell vectors:
Cd (0.000, 0.000, 0.000)
In (0.000, 0.000, 0.500)
Br (0.500, 0.500, 0.235)
Br (0.500, 0.500, 0.765)

- space-group type = Cmmm (65)
- distance to the lowest polymorph of the same formula (meV per atom) = 175.7
- formation energy without anion corrections (eV/atom) = -0.38

No. 3
The following is a PBE-GGA calculation of CdInBr2 after structural relaxation, from the Alexandria database.

Lattice parameters (Å, degrees): 3.913 3.913 9.686 90.00 90.00 118.87
Sites, in units of the cell vectors:
Cd (0.000, 0.000, 0.000)
In (0.500, 0.500, 0.768)
Br (0.000, 0.000, 0.563)
Br (0.500, 0.500, 0.187)

- space-group type = Cmm2 (35)
- distance to the lowest polymorph of the same formula (meV per atom) = 129.1
- formation energy without anion corrections (eV/atom) = -0.42

No. 4
The following is a PBE-GGA calculation of Cd2InBr after structural relaxation, from the Alexandria database.

Lattice parameters (Å, degrees): 5.491 5.491 5.491 60.00 60.00 60.00
Sites, in units of the cell vectors:
Cd (0.250, 0.250, 0.250)
Cd (0.750, 0.750, 0.750)
In (0.000, 0.000, 0.000)
Br (0.500, 0.500, 0.500)

- space-group type = Fm-3m (225)
- distance to the lowest polymorph of the same formula (meV per atom) = 149.6
- formation energy without anion corrections (eV/atom) = -0.03

No. 5
The following is a PBE-GGA calculation of CdInBr2 after structural relaxation, from the Alexandria database.

Lattice parameters (Å, degrees): 5.615 5.615 5.615 127.33 112.65 90.48
Sites, in units of the cell vectors:
Cd (0.000, 0.000, 0.000)
In (0.500, 0.500, 0.000)
Br (0.228, 0.728, 0.500)
Br (0.772, 0.272, 0.500)

- space-group type = Immm (71)
- distance to the lowest polymorph of the same formula (meV per atom) = 159.2
- formation energy without anion corrections (eV/atom) = -0.39

No. 6
The following is a PBE-GGA calculation of Cd2InBr after structural relaxation, from the Alexandria database.

Lattice parameters (Å, degrees): 7.622 7.622 7.622 122.77 122.77 85.27
Sites, in units of the cell vectors:
Cd (0.114, 0.625, 0.989)
Cd (0.375, 0.364, 0.489)
Cd (0.636, 0.125, 0.011)
Cd (0.875, 0.886, 0.511)
In (0.000, 0.000, 0.000)
In (0.750, 0.250, 0.500)
Br (0.250, 0.750, 0.500)
Br (0.500, 0.500, 0.000)

- space-group type = I-42d (122)
- distance to the lowest polymorph of the same formula (meV per atom) = 89.8
- formation energy without anion corrections (eV/atom) = -0.09

No. 7
The following is a PBE-GGA calculation of CdInBr2 after structural relaxation, from the Alexandria database.

Lattice parameters (Å, degrees): 4.567 4.567 6.445 90.00 90.00 90.00
Sites, in units of the cell vectors:
Cd (0.000, 0.000, 0.000)
In (0.500, 0.500, 0.501)
Br (0.000, 0.000, 0.503)
Br (0.500, 0.500, 0.001)

- space-group type = P4mm (99)
- distance to the lowest polymorph of the same formula (meV per atom) = 98.1
- formation energy without anion corrections (eV/atom) = -0.45

No. 8
The following is a PBE-GGA calculation of CdInBr2 after structural relaxation, from the Alexandria database.

Lattice parameters (Å, degrees): 3.657 3.657 8.952 90.00 90.00 90.00
Sites, in units of the cell vectors:
Cd (0.000, 0.000, 0.000)
In (0.500, 0.500, 0.255)
Br (0.000, 0.000, 0.448)
Br (0.500, 0.500, 0.833)

- space-group type = P4mm (99)
- distance to the lowest polymorph of the same formula (meV per atom) = 159.0
- formation energy without anion corrections (eV/atom) = -0.39

No. 9
The following is a PBE-GGA calculation of Cd2In2Br7 after structural relaxation, from the Alexandria database.

Lattice parameters (Å, degrees): 8.093 8.093 6.994 96.31 96.31 102.92
Sites, in units of the cell vectors:
Cd (0.246, 0.246, 0.408)
Cd (0.754, 0.754, 0.592)
In (0.302, 0.698, 0.000)
In (0.698, 0.302, 0.000)
Br (0.000, 0.000, 0.500)
Br (0.078, 0.433, 0.216)
Br (0.406, 0.406, 0.753)
Br (0.433, 0.078, 0.216)
Br (0.567, 0.922, 0.784)
Br (0.594, 0.594, 0.247)
Br (0.922, 0.567, 0.784)

- space-group type = C2/m (12)
- formation energy without anion corrections (eV/atom) = -0.70

No. 10
The following is a PBE-GGA calculation of CdInBr after structural relaxation, from the Alexandria database.

Lattice parameters (Å, degrees): 5.354 5.354 5.354 60.00 60.00 60.00
Sites, in units of the cell vectors:
Cd (0.000, 0.000, 0.000)
In (0.250, 0.250, 0.250)
Br (0.500, 0.500, 0.500)

- space-group type = F-43m (216)
- distance to the lowest polymorph of the same formula (meV per atom) = 38.1
- formation energy without anion corrections (eV/atom) = -0.24

No. 11
The following is a PBE-GGA calculation of CdInBr2 after structural relaxation, from the Alexandria database.

Lattice parameters (Å, degrees): 8.893 8.893 4.193 103.50 103.50 24.92
Sites, in units of the cell vectors:
Cd (0.000, 0.000, 0.000)
In (0.355, 0.355, 0.858)
Br (0.555, 0.555, 0.555)
Br (0.781, 0.781, 0.284)

- space-group type = Cm (8)
- distance to the lowest polymorph of the same formula (meV per atom) = 72.2
- formation energy without anion corrections (eV/atom) = -0.48

No. 12
The following is a PBE-GGA calculation of Cd2InBr2 after structural relaxation, from the Alexandria database.

Lattice parameters (Å, degrees): 8.113 8.113 4.717 90.00 90.00 90.00
Sites, in units of the cell vectors:
Cd (0.120, 0.380, 0.000)
Cd (0.380, 0.880, 0.000)
Cd (0.620, 0.120, 0.000)
Cd (0.880, 0.620, 0.000)
In (0.000, 0.000, 0.000)
In (0.500, 0.500, 0.000)
Br (0.230, 0.730, 0.500)
Br (0.270, 0.230, 0.500)
Br (0.730, 0.770, 0.500)
Br (0.770, 0.270, 0.500)

- space-group type = P4/mbm (127)
- distance to the lowest polymorph of the same formula (meV per atom) = 39.0
- formation energy without anion corrections (eV/atom) = -0.28